Entry 1:
# Pr5Ho2Tl4 (PBE, optimized geometry)
# E_form	-43	meV per atom
# Fermi-level density of states	27.98	states/eV/cell
# total energy	-3.909	eV per atom
# calculated density	8.6	g/cm³
# spin magnetization	0.00	μB/atom
data_Pr5Ho2Tl4
_symmetry_space_group_name_H-M 'C 1 2/m 1'
_symmetry_Int_Tables_number 12
_symmetry_space_group_name_Hall '-C 2y'
_cell_length_a 24.787
_cell_length_b 3.537
_cell_length_c 8.199
_cell_angle_alpha 90.00
_cell_angle_beta 92.96
_cell_angle_gamma 90.00
loop_
_atom_site_label
_atom_site_type_symbol
_atom_site_fract_x
_atom_site_fract_y
_atom_site_fract_z
Pr1 Pr 0.000 0.000 0.000
Pr2 Pr 0.141 0.500 0.122
Pr3 Pr 0.233 0.500 0.781
Ho1 Ho 0.090 0.500 0.717
Tl1 Tl 0.038 0.500 0.353
Tl2 Tl 0.163 0.000 0.471

=====

Entry 2:
# NdNi2Sn3 (PBE, optimized geometry)
# E_form	-379	meV per atom
# Fermi-level density of states	14.98	states/eV/cell
# total energy	-5.103	eV per atom
# calculated density	8.2	g/cm³
# spin magnetization	0.00	μB/atom
data_NdNi2Sn3
_symmetry_space_group_name_H-M 'C 1 2/m 1'
_symmetry_Int_Tables_number 12
_symmetry_space_group_name_Hall '-C 2y'
_cell_length_a 17.024
_cell_length_b 4.375
_cell_length_c 10.610
_cell_angle_alpha 90.00
_cell_angle_beta 107.37
_cell_angle_gamma 90.00
loop_
_atom_site_label
_atom_site_type_symbol
_atom_site_fract_x
_atom_site_fract_y
_atom_site_fract_z
Nd1 Nd 0.000 0.000 0.000
Nd2 Nd 0.154 0.000 0.700
Ni1 Ni 0.013 0.500 0.770
Ni2 Ni 0.139 0.500 0.437
Ni3 Ni 0.195 0.000 0.107
Sn1 Sn 0.000 0.500 0.500
Sn2 Sn 0.045 0.000 0.341
Sn3 Sn 0.129 0.500 0.182
Sn4 Sn 0.161 0.500 0.932
Sn5 Sn 0.226 0.000 0.379

=====

Entry 3:
# Nd6Er12Al (PBE, optimized geometry)
# E_form	90	meV per atom
# Fermi-level density of states	71.35	states/eV/cell
# total energy	-4.494	eV per atom
# calculated density	8.0	g/cm³
# spin magnetization	0.00	μB/atom
data_Nd6Er12Al
_symmetry_space_group_name_H-M 'R -3'
_symmetry_Int_Tables_number 148
_symmetry_space_group_name_Hall '-R 3'
_cell_length_a 11.8439
_cell_length_b 11.8439
_cell_length_c 14.8293
_cell_angle_alpha 90.00
_cell_angle_beta 90.00
_cell_angle_gamma 120.00
loop_
_atom_site_label
_atom_site_type_symbol
_atom_site_fract_x
_atom_site_fract_y
_atom_site_fract_z
Nd1 Nd 0.0158 0.5917 0.1827
Er1 Er 0.0002 0.1707 0.6860
Er2 Er 0.0474 0.1938 0.9153
Al1 Al 0.0000 0.0000 0.5000

=====

Entry 4:
# Si7C (PBE, optimized geometry)
# formation energy without anion corrections	97.6	kJ per mole of atoms
# Fermi-level density of states	18.23	states/eV/cell
# total energy	-4.886	eV per atom
# calculated density	3.2	g/cm³
# spin magnetization	0.00	μB/atom
data_Si7C
_symmetry_space_group_name_H-M 'F m -3 m'
_symmetry_Int_Tables_number 225
_symmetry_space_group_name_Hall '-F 4 2 3'
_cell_length_a 7.546
_cell_length_b 7.546
_cell_length_c 7.546
_cell_angle_alpha 90.00
_cell_angle_beta 90.00
_cell_angle_gamma 90.00
loop_
_atom_site_label
_atom_site_type_symbol
_atom_site_fract_x
_atom_site_fract_y
_atom_site_fract_z
Si1 Si 0.000 0.000 0.000
Si2 Si 0.000 0.250 0.250
C1 C 0.000 0.000 0.500